Material: Rb2PaHgTe4
Method: DFT, PBE
State: optimized geometry

Calculated values
ρ in Mg/m³: 5.859
Total DFT energy (no corrections) in eV per cell: -30.3

```
data_Rb2PaHgTe4
_chemical_formula_sum 'Rb2 Pa1 Hg1 Te4'
_cell_length_a 8.4498
_cell_length_b 4.4877
_cell_length_c 8.8032
_cell_angle_alpha 90.00
_cell_angle_beta 109.11
_cell_angle_gamma 90.00
_symmetry_space_group_name_H-M 'P 1 2/m 1'
_symmetry_Int_Tables_number 10
loop_
_symmetry_equiv_pos_as_xyz
'x,y,z'
'-x,-y,-z'
'-x,y,-z'
'x,-y,z'
loop_
_atom_site_label
_atom_site_type_symbol
_atom_site_fract_x
_atom_site_fract_y
_atom_site_fract_z
Rb1 Rb 0.0000 0.0000 0.0000
Rb2 Rb 0.5000 0.5000 0.0000
Pa1 Pa 0.0000 0.5000 0.5000
Hg1 Hg 0.5000 0.0000 0.5000
Te1 Te 0.2099 0.0000 0.7091
Te2 Te 0.2523 0.5000 0.3218
```